[1]
Compound: Rb2BeAuF6
Source: the Alexandria database
Functional: PBE
Structure: relaxed

The space group is I4/mmm (No. 139) and the conventional cell measures 5.9379, 5.9379 and 8.8302 Å, with angles of 90.00, 90.00 and 90.00 degrees. The asymmetric unit holds Rb at (0.0000, 0.5000, 0.2500), Be at (0.0000, 0.0000, 0.0000), Au at (0.0000, 0.0000, 0.5000), F at (0.0000, 0.0000, 0.2686) and F at (0.1999, 0.1999, 0.0000).

The density of states at the Fermi level comes out at 1.2 states/eV/cell. The total moment comes out at 2.0 μB per cell. The value obtained for the raw formation energy is -215 kJ per mole of atoms.

[2]
Compound: ScBeAuF2
Source: the Alexandria database
Functional: PBE
Structure: relaxed

The space group is P4/mmm (No. 123) and the conventional cell measures 3.8620, 3.8620 and 6.0474 Å, with angles of 90.00, 90.00 and 90.00 degrees. The asymmetric unit holds Sc at (0.0000, 0.0000, 0.0000), Be at (0.0000, 0.0000, 0.5000), Au at (0.5000, 0.5000, 0.5000) and F at (0.0000, 0.5000, 0.0000).

The density of states at the Fermi level comes out at 1.4 states/eV/cell. The total moment comes out at 0.0 μB per cell. The value obtained for the raw formation energy is -159 kJ per mole of atoms.

> Which value of total moment does entry 1 give?

2.0 μB per cell

> Which of these has the lowest raw formation energy?

Rb2BeAuF6

> Which of these has the lowest total moment?

ScBeAuF2

What did the second record say?
Compound: ScBeAuF2
Source: the Alexandria database
Functional: PBE
Structure: relaxed

The space group is P4/mmm (No. 123) and the conventional cell measures 3.8620, 3.8620 and 6.0474 Å, with angles of 90.00, 90.00 and 90.00 degrees. The asymmetric unit holds Sc at (0.0000, 0.0000, 0.0000), Be at (0.0000, 0.0000, 0.5000), Au at (0.5000, 0.5000, 0.5000) and F at (0.0000, 0.5000, 0.0000).

The density of states at the Fermi level comes out at 1.4 states/eV/cell. The total moment comes out at 0.0 μB per cell. The value obtained for the raw formation energy is -159 kJ per mole of atoms.